Sm2MnSbO7: relaxed, PBE with a Hubbard U.

Geometry as POSCAR:
```
Sm2MnSbO7
1.0
3.9546 -5.3791 -3.2264
4.0333 -0.7667 6.1748
-7.3910 -0.5886 0.0968
O Sm Mn Sb
14 4 2 2
direct
0.6276 0.3776 0.2500
0.0792 0.3292 0.7500
0.6593 0.9206 0.3297
0.9091 0.0794 0.2387
0.3724 0.6224 0.7500
0.6744 0.9244 0.7500
0.3256 0.0756 0.2500
0.3407 0.0794 0.6703
0.6593 0.3296 0.7387
0.0909 0.3296 0.1703
0.9208 0.6708 0.2500
0.3407 0.6704 0.2613
0.9091 0.6704 0.8297
0.0909 0.9206 0.7613
0.0000 0.5000 0.5000
0.5000 0.5000 0.0000
0.5000 0.0000 0.0000
0.5000 0.5000 0.5000
0.0000 0.5000 0.0000
0.0000 0.0000 0.5000
0.0000 0.0000 0.0000
0.5000 0.0000 0.5000
```

SG: No. 74
Density of states at the Fermi level in states/eV/f.u.: 0.419
Volume in Å³/cell: 287.62
Spin magnetization in μB/cell: 8.000
Energy in eV/atom: -7.53
Crystal system: orthorhombic